Material: Cs2Hg5Sb2
Method: DFT, PBE
State: relaxed

Uncorrected energy in eV/atom: -1.45
Formation energy (no corrections) in eV/atom: -0.172
Calculated volume in Å³ per atom: 42.277

Cell lengths 13.1738, 13.1738, 6.0344 Å; angles 101.32, 101.32, 21.77 degrees
Fractional positions:
1 Cs 0.1484 0.1484 0.3614
2 Cs 0.8516 0.8516 0.6386
3 Hg 0.0430 0.0430 0.6831
4 Hg 0.2816 0.2816 0.1110
5 Hg 0.5000 0.5000 0.0000
6 Hg 0.7184 0.7184 0.8890
7 Hg 0.9570 0.9570 0.3169
8 Sb 0.4029 0.4029 0.1381
9 Sb 0.5971 0.5971 0.8619

***

Material: MgCuAg4
Method: DFT, PBE
State: relaxed

Uncorrected energy in eV/atom: -2.69
Calculated volume in Å³ per atom: 19.147
DFT formation energy in eV per atom: 0.16

Cell lengths 5.4566, 5.4566, 5.4566 Å; angles 60.00, 60.00, 60.00 degrees
Fractional positions:
1 Mg 0.0000 0.0000 0.0000
2 Cu 0.2500 0.2500 0.2500
3 Ag 0.1253 0.6249 0.6249
4 Ag 0.6249 0.1253 0.6249
5 Ag 0.6249 0.6249 0.1253
6 Ag 0.6249 0.6249 0.6249

***

Material: BeCuAgAs2
Method: DFT, PBE
State: relaxed

Uncorrected energy in eV/atom: -2.89
Calculated volume in Å³ per atom: 21.415
DFT formation energy in eV per atom: 1.10

Cell lengths 4.9963, 4.9963, 4.2895 Å; angles 90.00, 90.00, 90.00 degrees
Fractional positions:
1 Be 0.0000 0.0000 0.0000
2 Cu 0.5000 0.5000 0.0000
3 Ag 0.0000 0.0000 0.5000
4 As 0.0000 0.5000 0.5000
5 As 0.5000 0.0000 0.5000

***

Material: LiAl2Se
Method: DFT, PBE
State: relaxed

Uncorrected energy in eV/atom: -3.30
Formation energy (no corrections) in eV/atom: -0.075
Calculated volume in Å³ per atom: 18.646

Cell lengths 3.7751, 3.7751, 5.2335 Å; angles 90.00, 90.00, 90.00 degrees
Fractional positions:
1 Li 0.0000 0.0000 0.0000
2 Al 0.5000 0.5000 0.2533
3 Al 0.5000 0.5000 0.7467
4 Se 0.0000 0.0000 0.5000

***

Material: Tm5Hg2Rh
Method: DFT, PBE
State: relaxed

Uncorrected energy in eV/atom: -4.31
Calculated volume in Å³ per atom: 25.215
Distance to the lowest polymorph of the same formula in eV/atom: 0.000
DFT formation energy in eV per atom: -0.52

Cell lengths 6.9950, 11.8494, 4.8674 Å; angles 90.00, 90.00, 90.00 degrees
Fractional positions:
1 Tm 0.0000 0.0000 0.0000
2 Tm 0.1417 0.2916 0.0000
3 Tm 0.1746 0.5871 0.5000
4 Tm 0.3254 0.0871 0.5000
5 Tm 0.3583 0.7916 0.0000
6 Tm 0.5000 0.5000 0.0000
7 Tm 0.6417 0.2084 0.0000
8 Tm 0.6746 0.9129 0.5000
9 Tm 0.8254 0.4129 0.5000
10 Tm 0.8583 0.7084 0.0000
11 Hg 0.0855 0.8405 0.5000
12 Hg 0.4145 0.3405 0.5000
13 Hg 0.5855 0.6595 0.5000
14 Hg 0.9145 0.1595 0.5000
15 Rh 0.0000 0.5000 0.0000
16 Rh 0.5000 0.0000 0.0000

***

Material: PaAgPtPb
Method: DFT, PBE
State: relaxed

Uncorrected energy in eV/atom: -5.79
Calculated volume in Å³ per atom: 21.848
DFT formation energy in eV per atom: -0.27

Cell lengths 7.0444, 7.0444, 7.0444 Å; angles 90.00, 90.00, 90.00 degrees
Fractional positions:
1 Pa 0.0000 0.0000 0.0000
2 Pa 0.0000 0.5000 0.5000
3 Pa 0.5000 0.0000 0.5000
4 Pa 0.5000 0.5000 0.0000
5 Ag 0.2500 0.2500 0.7500
6 Ag 0.2500 0.7500 0.2500
7 Ag 0.7500 0.2500 0.2500
8 Ag 0.7500 0.7500 0.7500
9 Pt 0.2500 0.2500 0.2500
10 Pt 0.2500 0.7500 0.7500
11 Pt 0.7500 0.2500 0.7500
12 Pt 0.7500 0.7500 0.2500
13 Pb 0.0000 0.0000 0.5000
14 Pb 0.0000 0.5000 0.0000
15 Pb 0.5000 0.0000 0.0000
16 Pb 0.5000 0.5000 0.5000

***

Material: Ce3HfSi6
Method: DFT, PBE
State: relaxed

Uncorrected energy in eV/atom: -6.62
Formation energy (no corrections) in eV/atom: -0.588
Calculated volume in Å³ per atom: 20.262

Cell lengths 7.4654, 7.4654, 7.4654 Å; angles 97.22, 97.22, 97.22 degrees
Fractional positions:
1 Ce 0.1860 0.7500 0.3140
2 Ce 0.2500 0.6860 0.8140
3 Ce 0.3140 0.1860 0.7500
4 Ce 0.6860 0.8140 0.2500
5 Ce 0.7500 0.3140 0.1860
6 Ce 0.8140 0.2500 0.6860
7 Hf 0.0000 0.0000 0.0000
8 Hf 0.5000 0.5000 0.5000
9 Si 0.0176 0.0907 0.3768
10 Si 0.0907 0.3768 0.0176
11 Si 0.1232 0.4093 0.4824
12 Si 0.3768 0.0176 0.0907
13 Si 0.4093 0.4824 0.1232
14 Si 0.4824 0.1232 0.4093
15 Si 0.5176 0.8768 0.5907
16 Si 0.5907 0.5176 0.8768
17 Si 0.6232 0.9824 0.9093
18 Si 0.8768 0.5907 0.5176
19 Si 0.9093 0.6232 0.9824
20 Si 0.9824 0.9093 0.6232

***

Material: SrLiMgCd
Method: DFT, PBE
State: relaxed

Uncorrected energy in eV/atom: -1.68
Calculated volume in Å³ per atom: 29.179
DFT formation energy in eV per atom: -0.15

Cell lengths 8.6324, 4.9850, 6.1353 Å; angles 90.00, 117.85, 90.00 degrees
Fractional positions:
1 Sr 0.0000 0.0000 0.0000
2 Sr 0.5000 0.5000 0.0000
3 Li 0.2013 0.0000 0.6048
4 Li 0.7013 0.5000 0.6048
5 Mg 0.4927 0.0000 0.4786
6 Mg 0.9927 0.5000 0.4786
7 Cd 0.2930 0.5000 0.3795
8 Cd 0.7930 0.0000 0.3795

***

Please write out number 6 again, unchanged.
Material: PaAgPtPb
Method: DFT, PBE
State: relaxed

Uncorrected energy in eV/atom: -5.79
Calculated volume in Å³ per atom: 21.848
DFT formation energy in eV per atom: -0.27

Cell lengths 7.0444, 7.0444, 7.0444 Å; angles 90.00, 90.00, 90.00 degrees
Fractional positions:
1 Pa 0.0000 0.0000 0.0000
2 Pa 0.0000 0.5000 0.5000
3 Pa 0.5000 0.0000 0.5000
4 Pa 0.5000 0.5000 0.0000
5 Ag 0.2500 0.2500 0.7500
6 Ag 0.2500 0.7500 0.2500
7 Ag 0.7500 0.2500 0.2500
8 Ag 0.7500 0.7500 0.7500
9 Pt 0.2500 0.2500 0.2500
10 Pt 0.2500 0.7500 0.7500
11 Pt 0.7500 0.2500 0.7500
12 Pt 0.7500 0.7500 0.2500
13 Pb 0.0000 0.0000 0.5000
14 Pb 0.0000 0.5000 0.0000
15 Pb 0.5000 0.0000 0.0000
16 Pb 0.5000 0.5000 0.5000

***

Which of these has the highest uncorrected energy? Cs2Hg5Sb2